i | This record from Alexandria via LeMat-Bulk describes SiTe3Au after structural relaxation. The functional is PBE-GGA.

Summary:
SG = Pm-3m
calculated volume = 31.75 Å³ per atom

abc: 5.4149 5.4149 5.4149
angles: 90.00 90.00 90.00
With the nearest neighbours (Å) after each atom.
Atoms (fractional coordinates):
Si: 0.5000 0.5000 0.5000  12 Te 3.83
Te: 0.0000 0.5000 0.0000  2 Au 2.71
Te: 0.5000 0.0000 0.0000  2 Au 2.71
Au: 0.0000 0.0000 0.0000  6 Te 2.71
Te: 0.0000 0.0000 0.5000  2 Au 2.71

ii | This record from Alexandria via LeMat-Bulk describes SiTe3Au after structural relaxation. The functional is PBE-GGA.

Summary:
SG = Pm-3m
calculated volume = 28.73 Å³ per atom

abc: 5.2373 5.2373 5.2373
angles: 90.00 90.00 90.00
With the nearest neighbours (Å) after each atom.
Atoms (fractional coordinates):
Te: 0.0000 0.5000 0.0000  2 Si 2.62
Te: 0.0000 0.0000 0.5000  2 Si 2.62
Au: 0.5000 0.5000 0.5000  12 Te 3.70
Te: 0.5000 0.0000 0.0000  2 Si 2.62
Si: 0.0000 0.0000 0.0000  6 Te 2.62

Out of the structures above, which one is the least stable? Solution: i.